[1]
This record from the Alexandria database describes a relaxed Nd2Ga12Pt7 crystal. The functional is PBE-GGA.

Computed properties:
As for the crystal system: hexagonal. For the density, the calculation gives 11.15 Mg/m³. The value obtained for the formation energy is -739.4 meV per atom. The calculated volume is 370.8 Å³/cell.

a = 10.0753 Å, b = 10.0753 Å, c = 4.2181 Å
α = 90.00°, β = 90.00°, γ = 120.00°
Closest atoms and distances in Å follow each position.
Fractional coordinates of all 21 atoms:
Nd: 0.0000 0.0000 0.0000  6 Pt 3.21, 12 Ga 3.24-3.48
Nd: 0.3333 0.6667 0.5000  9 Ga 3.22-3.59, 6 Pt 3.43
Ga: 0.0196 0.2790 0.5000  4 Pt 2.51-2.71
Ga: 0.1426 0.7482 0.0000  4 Pt 2.56-2.62, 1 Ga 2.80
Ga: 0.2518 0.3944 0.0000  4 Pt 2.56-2.62, 1 Ga 2.80
Ga: 0.2595 0.9804 0.5000  4 Pt 2.51-2.71
Ga: 0.3707 0.1954 0.0000  4 Pt 2.58-2.60, 3 Ga 2.80-2.82
Ga: 0.5371 0.4167 0.5000  5 Pt 2.57-2.82, 1 Ga 2.83
Ga: 0.5833 0.1205 0.5000  5 Pt 2.57-2.82, 1 Ga 2.83
Ga: 0.6056 0.8574 0.0000  4 Pt 2.56-2.62, 1 Ga 2.80
Ga: 0.7210 0.7405 0.5000  4 Pt 2.51-2.71
Ga: 0.8046 0.1754 0.0000  4 Pt 2.58-2.60, 3 Ga 2.80-2.82
Ga: 0.8246 0.6293 0.0000  4 Pt 2.58-2.60, 3 Ga 2.80-2.82
Ga: 0.8795 0.4629 0.5000  5 Pt 2.57-2.82, 1 Ga 2.83
Pt: 0.0319 0.4532 0.0000  7 Ga 2.56-2.71
Pt: 0.2447 0.2364 0.5000  7 Ga 2.51-2.66
Pt: 0.4214 0.9681 0.0000  7 Ga 2.56-2.71
Pt: 0.5468 0.5786 0.0000  7 Ga 2.56-2.71
Pt: 0.6667 0.3333 0.0000  9 Ga 2.58-2.82
Pt: 0.7636 0.0083 0.5000  7 Ga 2.51-2.66
Pt: 0.9917 0.7553 0.5000  7 Ga 2.51-2.66

[2]
This record from the Alexandria database describes a relaxed Tm2PdAu6 crystal. The functional is PBE-GGA.

Computed properties:
As for the crystal system: monoclinic. For the density, the calculation gives 15.59 Mg/m³. The value obtained for the formation energy is -629.1 meV per atom. The calculated volume is 173.2 Å³/cell.

a = 6.9894 Å, b = 6.9894 Å, c = 7.0286 Å
α = 111.52°, β = 111.52°, γ = 33.08°
Closest atoms and distances in Å follow each position.
Fractional coordinates of all 9 atoms:
Tm: 0.0608 0.0608 0.3174  2 Pd 2.87, 9 Au 2.96-3.06
Tm: 0.9392 0.9392 0.6826  2 Pd 2.87, 9 Au 2.96-3.06
Pd: 0.5000 0.5000 0.0000  4 Tm 2.87, 8 Au 2.96-3.13
Au: 0.1637 0.1637 0.0022  8 Au 2.90-3.18, 2 Pd 2.96, 2 Tm 2.99-3.02
Au: 0.2733 0.2733 0.6724  7 Au 2.90-3.18, 3 Tm 2.96-2.98, 1 Pd 3.03
Au: 0.3958 0.3958 0.3301  6 Au 2.90-3.08, 4 Tm 3.00-3.06, 1 Pd 3.13
Au: 0.6042 0.6042 0.6699  6 Au 2.90-3.08, 4 Tm 3.00-3.06, 1 Pd 3.13
Au: 0.7267 0.7267 0.3276  7 Au 2.90-3.18, 3 Tm 2.96-2.98, 1 Pd 3.03
Au: 0.8363 0.8363 0.9978  8 Au 2.90-3.18, 2 Pd 2.96, 2 Tm 2.99-3.02

[3]
This record from the Alexandria database describes a relaxed PrNdTlI crystal. The functional is PBE-GGA.

Computed properties:
As for the crystal system: cubic. For the density, the calculation gives 8.27 Mg/m³. As for the final energy: -3.867 eV/atom. The calculated volume is 495.2 Å³/cell.

a = 7.9117 Å, b = 7.9117 Å, c = 7.9117 Å
α = 90.00°, β = 90.00°, γ = 90.00°
Closest atoms and distances in Å follow each position.
Fractional coordinates of all 16 atoms:
Pr: 0.0000 0.0000 0.0000  4 I 3.43, 4 Tl 3.43
Pr: 0.0000 0.5000 0.5000  4 Tl 3.43, 4 I 3.43
Pr: 0.5000 0.0000 0.5000  4 Tl 3.43, 4 I 3.43
Pr: 0.5000 0.5000 0.0000  4 Tl 3.43, 4 I 3.43
Nd: 0.0000 0.0000 0.5000  4 Tl 3.43, 4 I 3.43
Nd: 0.0000 0.5000 0.0000  4 Tl 3.43, 4 I 3.43
Nd: 0.5000 0.0000 0.0000  4 Tl 3.43, 4 I 3.43
Nd: 0.5000 0.5000 0.5000  4 Tl 3.43, 4 I 3.43
Tl: 0.2500 0.2500 0.7500  4 Pr 3.43, 4 Nd 3.43
Tl: 0.2500 0.7500 0.2500  4 Pr 3.43, 4 Nd 3.43
Tl: 0.7500 0.2500 0.2500  4 Pr 3.43, 4 Nd 3.43
Tl: 0.7500 0.7500 0.7500  4 Pr 3.43, 4 Nd 3.43
I: 0.2500 0.2500 0.2500  4 Pr 3.43, 4 Nd 3.43
I: 0.2500 0.7500 0.7500  4 Pr 3.43, 4 Nd 3.43
I: 0.7500 0.2500 0.7500  4 Pr 3.43, 4 Nd 3.43
I: 0.7500 0.7500 0.2500  4 Pr 3.43, 4 Nd 3.43

[4]
This record from the Alexandria database describes a relaxed CePa2F11 crystal. The functional is PBE-GGA.

Computed properties:
As for the crystal system: orthorhombic. For the density, the calculation gives 5.14 Mg/m³. As for the final energy: -7.119 eV/atom. The calculated volume is 524.1 Å³/cell.

a = 8.9229 Å, b = 8.9229 Å, c = 8.9229 Å
α = 122.44°, β = 106.73°, γ = 100.12°
Closest atoms and distances in Å follow each position.
Fractional coordinates of all 28 atoms:
Ce: 0.2500 0.2500 0.0000  8 F 2.43-2.44
Ce: 0.7500 0.7500 0.0000  8 F 2.43-2.44
Pa: 0.1815 0.6483 0.8299  7 F 2.21-2.41
Pa: 0.3185 0.1483 0.4668  7 F 2.21-2.41
Pa: 0.6815 0.8517 0.5332  7 F 2.21-2.41
Pa: 0.8185 0.3517 0.1701  7 F 2.21-2.41
F: 0.0000 0.5000 0.5000  2 Pa 2.32, 2 F 2.54
F: 0.0397 0.9535 0.2725  1 Pa 2.23, 1 Ce 2.43
F: 0.0618 0.3565 0.1487  1 Pa 2.23, 1 Ce 2.44
F: 0.1809 0.4535 0.9138  1 Pa 2.23, 1 Ce 2.43
F: 0.2078 0.9131 0.8513  1 Pa 2.23, 1 Ce 2.44
F: 0.2142 0.3708 0.5851  2 Pa 2.21-2.41
F: 0.2858 0.8708 0.1566  2 Pa 2.21-2.41
F: 0.2922 0.1435 0.7053  1 Pa 2.23, 1 Ce 2.44
F: 0.3191 0.2329 0.2725  1 Pa 2.23, 1 Ce 2.43
F: 0.4382 0.5869 0.2947  1 Pa 2.23, 1 Ce 2.44
F: 0.4603 0.7329 0.9138  1 Pa 2.23, 1 Ce 2.43
F: 0.5000 0.0000 0.5000  2 Pa 2.32, 2 F 2.54
F: 0.5397 0.2671 0.0862  1 Pa 2.23, 1 Ce 2.43
F: 0.5618 0.4131 0.7053  1 Pa 2.23, 1 Ce 2.44
F: 0.6809 0.7671 0.7275  1 Pa 2.23, 1 Ce 2.43
F: 0.7078 0.8565 0.2947  1 Pa 2.23, 1 Ce 2.44
F: 0.7142 0.1292 0.8434  2 Pa 2.21-2.41
F: 0.7858 0.6292 0.4149  2 Pa 2.21-2.41
F: 0.7922 0.0869 0.1487  1 Pa 2.23, 1 Ce 2.44
F: 0.8191 0.5465 0.0862  1 Pa 2.23, 1 Ce 2.43
F: 0.9382 0.6435 0.8513  1 Pa 2.23, 1 Ce 2.44
F: 0.9603 0.0465 0.7275  1 Pa 2.23, 1 Ce 2.43

[5]
This record from the Alexandria database describes a relaxed MnRePb2 crystal. The functional is PBE-GGA.

Computed properties:
As for the crystal system: cubic. For the density, the calculation gives 12.99 Mg/m³. The value obtained for the formation energy is 1069.4 meV per atom. The calculated volume is 335.1 Å³/cell.

a = 6.9461 Å, b = 6.9461 Å, c = 6.9461 Å
α = 90.00°, β = 90.00°, γ = 90.00°
Closest atoms and distances in Å follow each position.
Fractional coordinates of all 16 atoms:
Mn: 0.0000 0.0000 0.0000  4 Pb 3.01, 4 Re 3.01
Mn: 0.0000 0.5000 0.5000  4 Pb 3.01, 4 Re 3.01
Mn: 0.5000 0.0000 0.5000  4 Pb 3.01, 4 Re 3.01
Mn: 0.5000 0.5000 0.0000  4 Pb 3.01, 4 Re 3.01
Re: 0.2500 0.2500 0.2500  4 Mn 3.01, 4 Pb 3.01
Re: 0.2500 0.7500 0.7500  4 Mn 3.01, 4 Pb 3.01
Re: 0.7500 0.2500 0.7500  4 Mn 3.01, 4 Pb 3.01
Re: 0.7500 0.7500 0.2500  4 Mn 3.01, 4 Pb 3.01
Pb: 0.0000 0.0000 0.5000  4 Pb 3.01, 4 Re 3.01
Pb: 0.0000 0.5000 0.0000  4 Pb 3.01, 4 Re 3.01
Pb: 0.2500 0.2500 0.7500  4 Mn 3.01, 4 Pb 3.01
Pb: 0.2500 0.7500 0.2500  4 Mn 3.01, 4 Pb 3.01
Pb: 0.5000 0.0000 0.0000  4 Pb 3.01, 4 Re 3.01
Pb: 0.5000 0.5000 0.5000  4 Pb 3.01, 4 Re 3.01
Pb: 0.7500 0.2500 0.2500  4 Mn 3.01, 4 Pb 3.01
Pb: 0.7500 0.7500 0.7500  4 Mn 3.01, 4 Pb 3.01

[6]
This record from the Alexandria database describes a relaxed Os2Ru6W crystal. The functional is PBE-GGA.

Computed properties:
As for the crystal system: triclinic. For the density, the calculation gives 15.16 Mg/m³. The value obtained for the formation energy is 15.9 meV per atom. The calculated volume is 128.2 Å³/cell.

a = 2.7404 Å, b = 6.7461 Å, c = 7.2617 Å
α = 76.72°, β = 79.20°, γ = 89.91°
Closest atoms and distances in Å follow each position.
Fractional coordinates of all 9 atoms:
Os: 0.0931 0.3400 0.3119  8 Ru 2.64-2.75, 2 W 2.74, 2 Os 2.74
Os: 0.9069 0.6600 0.6881  8 Ru 2.64-2.75, 2 W 2.74, 2 Os 2.74
Ru: 0.1691 0.0011 0.1621  9 Ru 2.69-2.74, 1 Os 2.74, 2 W 2.77
Ru: 0.2430 0.6636 0.0165  9 Ru 2.65-2.77, 3 Os 2.66-2.72
Ru: 0.4256 0.3378 0.6464  4 Os 2.64-2.75, 7 Ru 2.65-2.77, 1 W 2.72
Ru: 0.5744 0.6622 0.3536  4 Os 2.64-2.75, 7 Ru 2.65-2.77, 1 W 2.72
Ru: 0.7570 0.3364 0.9835  9 Ru 2.65-2.77, 3 Os 2.66-2.72
Ru: 0.8309 0.9989 0.8379  9 Ru 2.69-2.74, 1 Os 2.74, 2 W 2.77
W: 0.5000 0.0000 0.5000  6 Ru 2.72-2.77, 4 Os 2.74, 2 W 2.74

[7]
This record from the Alexandria database describes a relaxed Li2In crystal. The functional is PBE-GGA.

Computed properties:
As for the crystal system: cubic. For the density, the calculation gives 3.40 Mg/m³. The value obtained for the formation energy is -221.8 meV per atom. The calculated volume is 503.5 Å³/cell.

a = 8.9296 Å, b = 8.9296 Å, c = 8.9296 Å
α = 60.00°, β = 60.00°, γ = 60.00°
Closest atoms and distances in Å follow each position.
Fractional coordinates of all 24 atoms:
Li: 0.0000 0.0000 0.0000  6 In 2.78
Li: 0.0000 0.0000 0.5000  6 In 2.78
Li: 0.0000 0.5000 0.0000  6 In 2.78
Li: 0.1731 0.1731 0.5769  4 In 2.92-3.08, 2 Li 3.12
Li: 0.1731 0.5769 0.1731  4 In 2.92-3.08, 2 Li 3.12
Li: 0.1731 0.5769 0.5769  4 In 2.92-3.08, 2 Li 3.12
Li: 0.4231 0.4231 0.8269  4 In 2.92-3.08, 2 Li 3.12
Li: 0.4231 0.8269 0.4231  4 In 2.92-3.08, 2 Li 3.12
Li: 0.4231 0.8269 0.8269  4 In 2.92-3.08, 2 Li 3.12
Li: 0.5000 0.0000 0.0000  6 In 2.78
Li: 0.5769 0.1731 0.1731  4 In 2.92-3.08, 2 Li 3.12
Li: 0.5769 0.1731 0.5769  4 In 2.92-3.08, 2 Li 3.12
Li: 0.5769 0.5769 0.1731  4 In 2.92-3.08, 2 Li 3.12
Li: 0.8269 0.4231 0.4231  4 In 2.92-3.08, 2 Li 3.12
Li: 0.8269 0.4231 0.8269  4 In 2.92-3.08, 2 Li 3.12
Li: 0.8269 0.8269 0.4231  4 In 2.92-3.08, 2 Li 3.12
In: 0.1432 0.7856 0.7856  9 Li 2.78-3.08
In: 0.2144 0.2144 0.2144  9 Li 2.78-3.08
In: 0.2144 0.2144 0.8568  9 Li 2.78-3.08
In: 0.2144 0.8568 0.2144  9 Li 2.78-3.08
In: 0.7856 0.1432 0.7856  9 Li 2.78-3.08
In: 0.7856 0.7856 0.1432  9 Li 2.78-3.08
In: 0.7856 0.7856 0.7856  9 Li 2.78-3.08
In: 0.8568 0.2144 0.2144  9 Li 2.78-3.08

[8]
This record from the Alexandria database describes a relaxed Pr8Nd3Tl2 crystal. The functional is PBE-GGA.

Computed properties:
As for the crystal system: trigonal. For the density, the calculation gives 7.00 Mg/m³. The value obtained for the formation energy is 117.1 meV per atom. The calculated volume is 467.0 Å³/cell.

a = 12.7102 Å, b = 12.7102 Å, c = 12.7102 Å
α = 30.43°, β = 30.43°, γ = 30.43°
Closest atoms and distances in Å follow each position.
Fractional coordinates of all 13 atoms:
Pr: 0.2155 0.2155 0.2155  1 Tl 3.09, 1 Nd 3.41
Pr: 0.2196 0.2196 0.7265  4 Pr 3.29-3.38, 1 Tl 3.33, 3 Nd 3.48-3.52
Pr: 0.2196 0.7265 0.2196  4 Pr 3.29-3.38, 1 Tl 3.33, 3 Nd 3.48-3.52
Pr: 0.2735 0.7804 0.7804  4 Pr 3.29-3.38, 1 Tl 3.33, 3 Nd 3.48-3.52
Pr: 0.7265 0.2196 0.2196  4 Pr 3.29-3.38, 1 Tl 3.33, 3 Nd 3.48-3.52
Pr: 0.7804 0.2735 0.7804  4 Pr 3.29-3.38, 1 Tl 3.33, 3 Nd 3.48-3.52
Pr: 0.7804 0.7804 0.2735  4 Pr 3.29-3.38, 1 Tl 3.33, 3 Nd 3.48-3.52
Pr: 0.7845 0.7845 0.7845  1 Tl 3.09, 1 Nd 3.41
Nd: 0.3094 0.3094 0.3094  10 Pr 3.41-3.52
Nd: 0.5000 0.5000 0.5000  6 Tl 4.07, 12 Pr 4.24-4.49
Nd: 0.6906 0.6906 0.6906  10 Pr 3.41-3.52
Tl: 0.1305 0.1305 0.1305  4 Pr 3.09-3.33
Tl: 0.8695 0.8695 0.8695  4 Pr 3.09-3.33

[9]
This record from the Alexandria database describes a relaxed Tb2Zn2CdPd5 crystal. The functional is PBE-GGA.

Computed properties:
As for the crystal system: tetragonal. For the density, the calculation gives 10.00 Mg/m³. The value obtained for the formation energy is -673.0 meV per atom. The calculated volume is 363.0 Å³/cell.

a = 9.7481 Å, b = 9.7481 Å, c = 3.8205 Å
α = 90.00°, β = 90.00°, γ = 90.00°
Closest atoms and distances in Å follow each position.
Fractional coordinates of all 20 atoms:
Tb: 0.1772 0.3228 0.0000  3 Zn 2.81-2.94, 6 Pd 3.10-3.14
Tb: 0.3228 0.8228 0.0000  3 Zn 2.81-2.94, 6 Pd 3.10-3.14
Tb: 0.6772 0.1772 0.0000  3 Zn 2.81-2.94, 6 Pd 3.10-3.14
Tb: 0.8228 0.6772 0.0000  3 Zn 2.81-2.94, 6 Pd 3.10-3.14
Zn: 0.1193 0.6193 0.0000  6 Pd 2.52-2.59, 1 Tb 2.81
Zn: 0.3807 0.1193 0.0000  6 Pd 2.52-2.59, 1 Tb 2.81
Zn: 0.6193 0.8807 0.0000  6 Pd 2.52-2.59, 1 Tb 2.81
Zn: 0.8807 0.3807 0.0000  6 Pd 2.52-2.59, 1 Tb 2.81
Cd: 0.0000 0.0000 0.0000  8 Pd 2.86
Cd: 0.5000 0.5000 0.0000  8 Pd 2.86
Pd: 0.0000 0.5000 0.5000  4 Zn 2.52
Pd: 0.0693 0.7923 0.5000  2 Zn 2.59, 2 Cd 2.86
Pd: 0.2077 0.0693 0.5000  2 Zn 2.59, 2 Cd 2.86
Pd: 0.2923 0.5693 0.5000  2 Zn 2.59, 2 Cd 2.86
Pd: 0.4307 0.2923 0.5000  2 Zn 2.59, 2 Cd 2.86
Pd: 0.5000 0.0000 0.5000  4 Zn 2.52
Pd: 0.5693 0.7077 0.5000  2 Zn 2.59, 2 Cd 2.86
Pd: 0.7077 0.4307 0.5000  2 Zn 2.59, 2 Cd 2.86
Pd: 0.7923 0.9307 0.5000  2 Zn 2.59, 2 Cd 2.86
Pd: 0.9307 0.2077 0.5000  2 Zn 2.59, 2 Cd 2.86

[10]
This record from the Alexandria database describes a relaxed Pu5Pa2Ge3 crystal. The functional is PBE-GGA.

Computed properties:
As for the crystal system: monoclinic. For the density, the calculation gives 13.84 Mg/m³. The value obtained for the formation energy is -141.8 meV per atom. The calculated volume is 456.0 Å³/cell.

a = 8.4453 Å, b = 8.4453 Å, c = 8.2138 Å
α = 107.02°, β = 107.02°, γ = 113.21°
Closest atoms and distances in Å follow each position.
Fractional coordinates of all 20 atoms:
Pu: 0.0215 0.9785 0.7500  3 Pu 2.72-2.96, 4 Ge 2.92
Pu: 0.1334 0.3279 0.7503  1 Pu 2.72, 1 Ge 3.02
Pu: 0.2313 0.7687 0.7500  2 Pa 2.68, 1 Pu 2.96
Pu: 0.2607 0.7393 0.2500  3 Ge 2.86-2.99, 2 Pu 3.15
Pu: 0.3279 0.1334 0.2503  1 Pu 2.72, 1 Ge 3.02
Pu: 0.6721 0.8666 0.7497  1 Pu 2.72, 1 Ge 3.02
Pu: 0.7393 0.2607 0.7500  3 Ge 2.86-2.99, 2 Pu 3.15
Pu: 0.7687 0.2313 0.2500  2 Pa 2.68, 1 Pu 2.96
Pu: 0.8666 0.6721 0.2497  1 Pu 2.72, 1 Ge 3.02
Pu: 0.9785 0.0215 0.2500  3 Pu 2.72-2.96, 4 Ge 2.92
Pa: 0.2318 0.4931 0.4852  1 Pu 2.68, 2 Ge 2.94-2.99
Pa: 0.4931 0.2318 0.9852  1 Pu 2.68, 2 Ge 2.94-2.99
Pa: 0.5069 0.7682 0.0148  1 Pu 2.68, 2 Ge 2.94-2.99
Pa: 0.7682 0.5069 0.5148  1 Pu 2.68, 2 Ge 2.94-2.99
Ge: 0.0402 0.2718 0.0643  7 Pu 2.92-3.23, 1 Ge 2.94, 1 Pa 2.94
Ge: 0.2718 0.0402 0.5643  7 Pu 2.92-3.23, 1 Ge 2.94, 1 Pa 2.94
Ge: 0.4636 0.5364 0.2500  3 Pu 2.86-3.14, 2 Ge 2.94, 4 Pa 2.99-3.12
Ge: 0.5364 0.4636 0.7500  3 Pu 2.86-3.14, 2 Ge 2.94, 4 Pa 2.99-3.12
Ge: 0.7282 0.9598 0.4357  7 Pu 2.92-3.23, 1 Ge 2.94, 1 Pa 2.94
Ge: 0.9598 0.7282 0.9357  7 Pu 2.92-3.23, 1 Ge 2.94, 1 Pa 2.94

[11]
This record from the Alexandria database describes a relaxed HOsSeBr2 crystal. The functional is PBE-GGA.

Computed properties:
As for the crystal system: tetragonal. For the density, the calculation gives 8.32 Mg/m³. As for the final energy: -2.911 eV/atom. The calculated volume is 85.9 Å³/cell.

a = 5.0674 Å, b = 5.0674 Å, c = 3.3433 Å
α = 90.00°, β = 90.00°, γ = 90.00°
Closest atoms and distances in Å follow each position.
Fractional coordinates of all 5 atoms:
H: 0.0000 0.0000 0.0000  2 Se 1.67
Os: 0.5000 0.5000 0.5000  8 Br 3.04, 2 Os 3.34
Se: 0.0000 0.0000 0.5000  2 H 1.67
Br: 0.0000 0.5000 0.0000  2 H 2.53
Br: 0.5000 0.0000 0.0000  2 H 2.53

[12]
This record from the Alexandria database describes a relaxed Tb2AgHg6 crystal. The functional is PBE-GGA.

Computed properties:
As for the crystal system: monoclinic. For the density, the calculation gives 11.89 Mg/m³. The value obtained for the formation energy is -164.4 meV per atom. The calculated volume is 227.6 Å³/cell.

a = 7.0411 Å, b = 7.0411 Å, c = 5.5144 Å
α = 112.43°, β = 112.43°, γ = 70.23°
Closest atoms and distances in Å follow each position.
Fractional coordinates of all 9 atoms:
Tb: 0.1834 0.1834 0.2593  8 Hg 3.08-3.24, 1 Ag 3.25
Tb: 0.8166 0.8166 0.7407  8 Hg 3.08-3.24, 1 Ag 3.25
Ag: 0.5000 0.5000 0.5000  8 Hg 2.99-3.12, 2 Tb 3.25
Hg: 0.0359 0.6640 0.2902  1 Ag 2.99, 4 Hg 3.01-3.14, 3 Tb 3.08-3.24
Hg: 0.3186 0.6814 0.0000  3 Hg 2.94-3.05, 2 Ag 3.12, 2 Tb 3.22
Hg: 0.3360 0.9641 0.7098  1 Ag 2.99, 4 Hg 3.01-3.14, 3 Tb 3.08-3.24
Hg: 0.6640 0.0359 0.2902  1 Ag 2.99, 4 Hg 3.01-3.14, 3 Tb 3.08-3.24
Hg: 0.6814 0.3186 0.0000  3 Hg 2.94-3.05, 2 Ag 3.12, 2 Tb 3.22
Hg: 0.9641 0.3360 0.7098  1 Ag 2.99, 4 Hg 3.01-3.14, 3 Tb 3.08-3.24